## i
The following is a DFT calculation (PBE) of a geometry-optimized SrHfZr3 structure.

**V**: 154 Å³ per cell

Geometry as POSCAR:
```
SrHfZr3
1.0
5.3550 0.0000 0.0000
0.0000 5.3550 0.0000
0.0000 0.0000 5.3550
Hf Zr Sr
1 3 1
direct
0.0000 0.0000 0.0000 Hf
0.0000 0.5000 0.0000 Zr
0.5000 0.0000 0.0000 Zr
0.0000 0.0000 0.5000 Zr
0.5000 0.5000 0.5000 Sr
```

## ii
The following is a DFT calculation (PBE) of a geometry-optimized SrHfZr3 structure.

**V**: 134 Å³ per cell

Geometry as POSCAR:
```
SrHfZr3
1.0
-0.5509 4.8334 1.5954
-4.3759 -1.2694 2.3347
2.5997 -1.1124 4.2678
Zr Hf Sr
3 1 1
direct
0.0000 0.5000 0.0000 Zr
0.5000 0.0000 0.0000 Zr
0.0000 0.0000 0.5000 Zr
0.5000 0.5000 0.5000 Hf
0.0000 0.0000 0.0000 Sr
```

i is the most stable structure; the next one sits 90.2 kJ/mol of atoms above it.

## i
The following is a DFT calculation (PBE) of a geometry-optimized Sr2HfZr structure.

**V**: 129 Å³ per cell

Geometry as POSCAR:
```
Sr2HfZr
1.0
0.0000 4.0111 4.0111
4.0111 0.0000 4.0111
4.0111 4.0111 0.0000
Sr Hf Zr
2 1 1
direct
0.7500 0.7500 0.7500 Sr
0.2500 0.2500 0.2500 Sr
0.5000 0.5000 0.5000 Hf
0.0000 0.0000 0.0000 Zr
```

## ii
The following is a DFT calculation (PBE) of a geometry-optimized Sr2HfZr structure.

**V**: 262 Å³ per cell

Geometry as POSCAR:
```
Sr2HfZr
1.0
9.1278 0.0000 0.0000
0.0000 9.1278 0.0000
4.5639 4.5639 3.1425
Hf Sr Zr
2 4 2
direct
0.7500 0.2500 0.5000 Hf
0.0000 0.0000 0.0000 Hf
0.1238 0.6250 0.2500 Sr
0.3750 0.3738 0.7500 Sr
0.6262 0.1250 0.2500 Sr
0.8750 0.8762 0.7500 Sr
0.2500 0.7500 0.5000 Zr
0.5000 0.5000 0.0000 Zr
```

i is the most stable structure; the next one sits 16.1 kJ/mol of atoms above it.

## i
The following is a DFT calculation (PBE) of a geometry-optimized SrHfZr2 structure.

**V**: 220 Å³ per cell

Geometry as POSCAR:
```
SrHfZr2
1.0
4.5250 0.0000 0.0000
0.0000 4.5250 0.0000
2.2625 2.2625 10.7483
Hf Zr Sr
2 4 2
direct
0.7500 0.2500 0.5000 Hf
0.0000 0.0000 0.0000 Hf
0.8750 0.8992 0.7500 Zr
0.3750 0.3508 0.7500 Zr
0.6492 0.1250 0.2500 Zr
0.1008 0.6250 0.2500 Zr
0.2500 0.7500 0.5000 Sr
0.5000 0.5000 0.0000 Sr
```

## ii
The following is a DFT calculation (PBE) of a geometry-optimized SrHfZr2 structure.

**V**: 104 Å³ per cell

Geometry as POSCAR:
```
SrHfZr2
1.0
0.0000 3.7342 3.7342
3.7342 0.0000 3.7342
3.7342 3.7342 0.0000
Sr Zr Hf
1 2 1
direct
0.0000 0.0000 0.0000 Sr
0.7500 0.7500 0.7500 Zr
0.2500 0.2500 0.2500 Zr
0.5000 0.5000 0.5000 Hf
```

ii is the most stable structure; the next one sits 27.0 kJ/mol of atoms above it.

## i
The following is a DFT calculation (PBE) of a geometry-optimized TbHf2Ta structure.

**V**: 94 Å³ per cell

Geometry as POSCAR:
```
TbHf2Ta
1.0
3.5184 0.0000 0.0000
0.0000 3.5184 0.0000
0.0000 0.0000 7.5738
Tb Hf Ta
1 2 1
direct
0.5000 0.5000 0.5000 Tb
0.0000 0.0000 0.7966 Hf
0.0000 0.0000 0.2034 Hf
0.5000 0.5000 0.0000 Ta
```

## ii
The following is a DFT calculation (PBE) of a geometry-optimized TbHf2Ta structure.

**V**: 95 Å³ per cell

Geometry as POSCAR:
```
TbHf2Ta
1.0
3.1511 0.0000 0.0000
1.5756 2.7290 0.0000
1.5756 0.9097 11.0250
Hf Ta Tb
2 1 1
direct
0.0954 0.0954 0.7138 Hf
0.9046 0.9046 0.2862 Hf
0.5000 0.5000 0.5000 Ta
0.0000 0.0000 0.0000 Tb
```

i is the most stable structure; the next one sits 16.4 kJ/mol of atoms above it.

## i
The following is a DFT calculation (PBE) of a geometry-optimized Hf2TaTc2 structure.

**V**: 191 Å³ per cell

Geometry as POSCAR:
```
Hf2TaTc2
1.0
6.6415 0.0000 0.0000
0.0000 6.6415 0.0000
0.0000 0.0000 4.3297
Tc Ta Hf
4 2 4
direct
0.3658 0.8658 0.0000 Tc
0.6342 0.1342 0.0000 Tc
0.1342 0.3658 0.0000 Tc
0.8658 0.6342 0.0000 Tc
0.5000 0.5000 0.0000 Ta
0.0000 0.0000 0.0000 Ta
0.1799 0.6799 0.5000 Hf
0.3201 0.1799 0.5000 Hf
0.8201 0.3201 0.5000 Hf
0.6799 0.8201 0.5000 Hf
```

## ii
The following is a DFT calculation (PBE) of a geometry-optimized Hf2TaTc2 structure.

**V**: 183 Å³ per cell

Geometry as POSCAR:
```
Hf2TaTc2
1.0
-2.3163 2.2114 7.0476
3.7835 -5.9883 3.1225
2.5004 1.7260 0.2802
Hf Ta Tc
4 2 4
direct
0.8589 0.6411 0.0000 Hf
0.1411 0.3589 0.0000 Hf
0.3589 0.8589 0.0000 Hf
0.6411 0.1411 0.0000 Hf
0.5000 0.5000 0.0000 Ta
0.0000 0.0000 0.0000 Ta
0.6634 0.8366 0.5000 Tc
0.8366 0.3366 0.5000 Tc
0.1634 0.6634 0.5000 Tc
0.3366 0.1634 0.5000 Tc
```

i is the most stable structure; the next one sits 31.4 kJ/mol of atoms above it.

## i
The following is a DFT calculation (PBE) of a geometry-optimized Hf2TaTc2 structure.

**V**: 99 Å³ per cell

Geometry as POSCAR:
```
Hf2TaTc2
1.0
3.4534 0.0000 0.0000
0.0000 3.4534 0.0000
1.7267 1.7267 8.2834
Hf Tc Ta
2 2 1
direct
0.3950 0.3950 0.2100 Hf
0.6050 0.6050 0.7900 Hf
0.2500 0.7500 0.5000 Tc
0.7500 0.2500 0.5000 Tc
0.0000 0.0000 0.0000 Ta
```

## ii
The following is a DFT calculation (PBE) of a geometry-optimized Hf2TaTc2 structure.

**V**: 96 Å³ per cell

Geometry as POSCAR:
```
Hf2TaTc2
1.0
-3.0266 -0.7706 0.5466
0.8293 -3.0666 0.2685
1.7920 -0.3463 9.4350
Hf Ta Tc
2 1 2
direct
0.0000 0.8305 0.3391 Hf
0.0000 0.1695 0.6609 Hf
0.0000 0.0000 0.0000 Ta
0.5000 0.5845 0.8310 Tc
0.5000 0.4155 0.1690 Tc
```

ii is the most stable structure; the next one sits 56.5 kJ/mol of atoms above it.

## i
The following is a DFT calculation (PBE) of a geometry-optimized HfTa2Tc structure.

**V**: 71 Å³ per cell

Geometry as POSCAR:
```
HfTa2Tc
1.0
0.0000 3.2827 3.2827
3.2827 0.0000 3.2827
3.2827 3.2827 0.0000
Ta Hf Tc
2 1 1
direct
0.2500 0.2500 0.2500 Ta
0.7500 0.7500 0.7500 Ta
0.5000 0.5000 0.5000 Hf
0.0000 0.0000 0.0000 Tc
```

## ii
The following is a DFT calculation (PBE) of a geometry-optimized HfTa2Tc structure.

**V**: 72 Å³ per cell

Geometry as POSCAR:
```
HfTa2Tc
1.0
-0.9869 -1.1782 2.8063
-1.3131 -2.4966 -1.5099
6.0564 -3.5676 0.6320
Ta Tc Hf
2 1 1
direct
0.0000 0.0000 0.7781 Ta
0.0000 0.0000 0.2219 Ta
0.5000 0.5000 0.0000 Tc
0.5000 0.5000 0.5000 Hf
```

## iii
The following is a DFT calculation (PBE) of a geometry-optimized HfTa2Tc structure.

**V**: 157 Å³ per cell

Geometry as POSCAR:
```
HfTa2Tc
1.0
7.4907 0.0000 0.0000
0.0000 7.4907 0.0000
3.7453 3.7453 2.7946
Ta Hf Tc
4 2 2
direct
0.5858 0.1250 0.2500 Ta
0.3750 0.4142 0.7500 Ta
0.8750 0.8358 0.7500 Ta
0.1642 0.6250 0.2500 Ta
0.0000 0.0000 0.0000 Hf
0.7500 0.2500 0.5000 Hf
0.2500 0.7500 0.5000 Tc
0.5000 0.5000 0.0000 Tc
```

ii is the most stable structure; the next one sits 12.2 kJ/mol of atoms above it.